(1)
Here is NbC6O3 after structural relaxation from OQMD. Energies are from PBE-GGA.

Geometry as POSCAR:
```
NbC6O3
1.0
-2.9116 2.9116 3.3576
2.9116 -2.9116 3.3576
2.9116 2.9116 -3.3576
Nb C O
1 6 3
Direct
0.0000 0.0000 0.0000
0.0000 0.3843 0.3843
0.0000 0.6157 0.6157
0.3133 0.3133 0.0000
0.3843 0.0000 0.3843
0.6157 0.0000 0.6157
0.6867 0.6867 0.0000
0.2500 0.7500 0.5000
0.5000 0.5000 0.0000
0.7500 0.2500 0.5000
```



(2)
Here is BaLu2Co after structural relaxation from OQMD. Energies are from PBE-GGA.

Geometry as POSCAR:
```
BaLu2Co
1.0
0.0000 3.7618 3.7618
3.7618 0.0000 3.7618
3.7618 3.7618 0.0000
Ba Lu Co
1 2 1
Direct
0.0000 0.0000 0.0000
0.5000 0.5000 0.5000
0.7500 0.7500 0.7500
0.2500 0.2500 0.2500
```



(3)
Here is TlGaCu2Se4 after structural relaxation from OQMD. Energies are from PBE-GGA.

Geometry as POSCAR:
```
TlGaCu2Se4
1.0
-2.8956 2.8956 5.8433
2.8956 -2.8956 5.8433
2.8956 2.8956 -5.8433
Tl Ga Cu Se
1 1 2 4
Direct
0.0000 0.0000 0.0000
0.7500 0.2500 0.5000
0.2500 0.7500 0.5000
0.5000 0.5000 0.0000
0.1425 0.5955 0.0060
0.4045 0.4105 0.5470
0.5895 0.1365 0.9940
0.8635 0.8575 0.4530
```



VASP energy (computed, eV per cell): -66.05 -15.53 -29.62